(1)
Entry from Alexandria via LeMat-Bulk: an optimized crystal structure of Tl3HPt (GGA-PBE).

Output
Theoretical density ... 12.6 g/cm3
Distance to the lowest polymorph of the same formula ... 71 meV/atom
Size of the total moment ... 0.000 μB/f.u.

a b c (Å): 4.7434 4.7434 4.7434
angles (deg): 90.00 90.00 90.00
Space group Pm-3m (No. 221)
One atom of each set of equivalent atoms:
Tl 0.0000 0.0000 0.5000 x3
H 0.0000 0.0000 0.0000 x1
Pt 0.5000 0.5000 0.5000 x1

***

(2)
Entry from Alexandria via LeMat-Bulk: an optimized crystal structure of CdAgHg2Te (GGA-PBE).

Output
E_form (uncorrected) ... 210 meV/atom
Theoretical density ... 7.6 g/cm3
Size of the total moment ... 0.000 μB/f.u.

a b c (Å): 5.4351 5.4351 5.5604
angles (deg): 90.00 90.00 90.00
Space group P4/mmm (No. 123)
One atom of each set of equivalent atoms:
Cd 0.0000 0.0000 0.0000 x1
Ag 0.5000 0.5000 0.5000 x1
Hg 0.0000 0.5000 0.5000 x2
Te 0.5000 0.5000 0.0000 x1

***

(3)
Entry from Alexandria via LeMat-Bulk: an optimized crystal structure of Al4CdBi (GGA-PBE).

Output
Theoretical density ... 5.6 g/cm3
Size of the total moment ... 0.000 μB/f.u.
DFT formation energy ... 203 meV/atom

a b c (Å): 7.9944 7.9944 7.9944
angles (deg): 90.00 90.00 90.00
Space group F-43m (No. 216)
One atom of each set of equivalent atoms:
Al 0.1243 0.1243 0.1243 x16
Cd 0.2500 0.2500 0.7500 x4
Bi 0.0000 0.0000 0.5000 x4

***

(4)
Entry from Alexandria via LeMat-Bulk: an optimized crystal structure of CsSiSe3 (GGA-PBE).

Output
E_form (uncorrected) ... -472 meV/atom
Theoretical density ... 3.6 g/cm3
Size of the total moment ... 0.003 μB/f.u.

a b c (Å): 9.1845 9.1845 14.9981
angles (deg): 90.00 90.00 120.00
Space group R3c (No. 161, hexagonal axes)
One atom of each set of equivalent atoms:
Cs 0.0000 0.0000 0.0000 x6
Si 0.0000 0.0000 0.2498 x6
Se 0.9995 0.2380 0.2497 x18

***

(5)
Entry from Alexandria via LeMat-Bulk: an optimized crystal structure of SmPdAu3 (GGA-PBE).

Output
Theoretical density ... 11.0 g/cm3
Distance to the lowest polymorph of the same formula ... 270 meV/atom
Size of the total moment ... 0.000 μB/f.u.
DFT formation energy ... -251 meV/atom

a b c (Å): 5.2541 5.2541 18.6036
angles (deg): 90.00 90.00 90.00
Space group I-4m2 (No. 119)
One atom of each set of equivalent atoms:
Sm 0.0000 0.0000 0.1723 x4
Pd 0.0000 0.0000 0.5000 x2
Pd 0.0000 0.5000 0.7500 x2
Au 0.0000 0.2482 0.6241 x8
Au 0.0000 0.5000 0.0789 x4

***

(6)
Entry from Alexandria via LeMat-Bulk: an optimized crystal structure of ErGaSi2Ir5 (GGA-PBE).

Output
E_form (uncorrected) ... -365 meV/atom
Theoretical density ... 12.6 g/cm3
Size of the total moment ... 0.000 μB/f.u.

a b c (Å): 4.0056 4.0056 10.2622
angles (deg): 90.00 90.00 90.00
Space group P4/mmm (No. 123)
One atom of each set of equivalent atoms:
Er 0.0000 0.0000 0.0000 x1
Ga 0.0000 0.0000 0.5000 x1
Si 0.5000 0.5000 0.2263 x2
Ir 0.0000 0.5000 0.3469 x4
Ir 0.5000 0.5000 0.0000 x1

***

(7)
Entry from Alexandria via LeMat-Bulk: an optimized crystal structure of HfMoIN2 (GGA-PBE).

Output
E_form (uncorrected) ... 882 meV/atom
Theoretical density ... 8.2 g/cm3
Distance to the lowest polymorph of the same formula ... 0 meV/atom
Size of the total moment ... 0.000 μB/f.u.

a b c (Å): 4.0306 4.0306 5.3839
angles (deg): 90.00 90.00 90.00
Space group P4/mmm (No. 123)
One atom of each set of equivalent atoms:
Hf 0.0000 0.0000 0.0000 x1
Mo 0.5000 0.5000 0.5000 x1
I 0.5000 0.5000 0.0000 x1
N 0.0000 0.5000 0.5000 x2

***

(8)
Entry from Alexandria via LeMat-Bulk: an optimized crystal structure of AcTbTh2P4 (GGA-PBE).

Output
Theoretical density ... 7.8 g/cm3
Size of the total moment ... 0.000 μB/f.u.
DFT formation energy ... -1515 meV/atom

a b c (Å): 7.2551 4.1924 7.2656
angles (deg): 90.00 109.50 90.00
Space group P2/m (No. 10)
One atom of each set of equivalent atoms:
Ac 0.0000 0.0000 0.0000 x1
Tb 0.0000 0.5000 0.5000 x1
Th 0.5000 0.0000 0.5000 x1
Th 0.5000 0.5000 0.0000 x1
P 0.2541 0.0000 0.7424 x2
P 0.2619 0.5000 0.2633 x2

***

(9)
Entry from Alexandria via LeMat-Bulk: an optimized crystal structure of Ba2Tl5Ag3 (GGA-PBE).

Output
Theoretical density ... 9.2 g/cm3
Distance to the lowest polymorph of the same formula ... 0 meV/atom
Size of the total moment ... 0.000 μB/f.u.
DFT formation energy ... -199 meV/atom

a b c (Å): 5.1452 28.3627 8.0419
angles (deg): 90.00 90.00 90.00
Space group Cmc2_1 (No. 36)
One atom of each set of equivalent atoms:
Ba 0.0000 0.0201 0.0000 x4
Ba 0.0000 0.3245 0.0401 x4
Tl 0.0000 0.1000 0.3440 x4
Tl 0.0000 0.2023 0.8560 x4
Tl 0.0000 0.2085 0.2511 x4
Tl 0.0000 0.3747 0.5238 x4
Tl 0.0000 0.4467 0.1854 x4
Ag 0.0000 0.1063 0.7174 x4
Ag 0.0000 0.2709 0.5600 x4
Ag 0.0000 0.4502 0.8002 x4

***

(10)
Entry from Alexandria via LeMat-Bulk: an optimized crystal structure of PrSmEr4 (GGA-PBE).

Output
Theoretical density ... 8.1 g/cm3
Distance to the lowest polymorph of the same formula ... 122 meV/atom
Size of the total moment ... 0.001 μB/f.u.
DFT formation energy ... 145 meV/atom

a b c (Å): 8.8293 14.6705 6.4533
angles (deg): 90.00 109.29 90.00
Space group C2/c (No. 15)
One atom of each set of equivalent atoms:
Pr 0.0000 0.0845 0.2500 x4
Sm 0.0000 0.4984 0.7500 x4
Er 0.0928 0.3051 0.5322 x8
Er 0.2047 0.1341 0.8808 x8

***

(11)
Entry from Alexandria via LeMat-Bulk: an optimized crystal structure of Os3Cl (GGA-PBE).

Output
E_form (uncorrected) ... 1327 meV/atom
Theoretical density ... 16.8 g/cm3
Distance to the lowest polymorph of the same formula ... 711 meV/atom
Size of the total moment ... 0.003 μB/f.u.

a b c (Å): 4.6480 4.6480 2.7684
angles (deg): 90.00 90.00 90.00
Space group P4/mmm (No. 123)
One atom of each set of equivalent atoms:
Os 0.0000 0.0000 0.0000 x1
Os 0.0000 0.5000 0.5000 x2
Cl 0.5000 0.5000 0.0000 x1

***

(12)
Entry from Alexandria via LeMat-Bulk: an optimized crystal structure of La7Pr2Zn2 (GGA-PBE).

Output
Theoretical density ... 6.1 g/cm3
Size of the total moment ... 0.025 μB/f.u.
DFT formation energy ... 6 meV/atom

a b c (Å): 3.8017 17.4124 11.3273
angles (deg): 90.00 90.00 90.00
Space group Imm2 (No. 44)
One atom of each set of equivalent atoms:
La 0.0000 0.0000 0.0000 x2
La 0.0000 0.0997 0.5671 x4
La 0.0000 0.3264 0.3241 x4
La 0.0000 0.3606 0.7817 x4
Pr 0.0000 0.2238 0.0573 x4
Zn 0.0000 0.0000 0.3167 x2
Zn 0.0000 0.5000 0.2534 x2

***

(13)
Entry from Alexandria via LeMat-Bulk: an optimized crystal structure of PuZnAg4 (GGA-PBE).

Output
Theoretical density ... 10.1 g/cm3
Size of the total moment ... 5.423 μB/f.u.
DFT formation energy ... 72 meV/atom

a b c (Å): 7.8717 7.8717 7.8717
angles (deg): 90.00 90.00 90.00
Space group F-43m (No. 216)
One atom of each set of equivalent atoms:
Pu 0.0000 0.0000 0.0000 x4
Zn 0.2500 0.2500 0.7500 x4
Ag 0.1246 0.1246 0.3754 x16

***

(14)
Entry from Alexandria via LeMat-Bulk: an optimized crystal structure of Ce2Pd3Pt2 (GGA-PBE).

Output
Theoretical density ... 11.5 g/cm3
Size of the total moment ... 0.632 μB/f.u.
DFT formation energy ... -683 meV/atom

a b c (Å): 9.4790 4.0960 8.2440
angles (deg): 90.00 116.57 90.00
Space group C2/m (No. 12)
One atom of each set of equivalent atoms:
Ce 0.2026 0.0000 0.2667 x4
Pd 0.0000 0.5000 0.0000 x2
Pd 0.0312 0.5000 0.3533 x4
Pt 0.1561 0.0000 0.8872 x4

***

(15)
Entry from Alexandria via LeMat-Bulk: an optimized crystal structure of Pm2Sm2DyMg5 (GGA-PBE).

Output
Theoretical density ... 5.0 g/cm3
Size of the total moment ... 0.000 μB/f.u.
DFT formation energy ... 45 meV/atom

a b c (Å): 10.6541 10.6541 5.1228
angles (deg): 90.00 90.00 90.00
Space group P4/mbm (No. 127)
One atom of each set of equivalent atoms:
Pm 0.1757 0.3243 0.0000 x4
Sm 0.1229 0.6229 0.0000 x4
Dy 0.0000 0.0000 0.0000 x2
Mg 0.0000 0.5000 0.5000 x2
Mg 0.0739 0.8063 0.5000 x8

***

(16)
Entry from Alexandria via LeMat-Bulk: an optimized crystal structure of KTi2HgCl (GGA-PBE).

Output
E_form (uncorrected) ... 616 meV/atom
Theoretical density ... 3.3 g/cm3
Size of the total moment ... 4.917 μB/f.u.

a b c (Å): 5.2413 5.2413 6.8179
angles (deg): 90.00 90.00 90.00
Space group P4/mmm (No. 123)
One atom of each set of equivalent atoms:
K 0.0000 0.0000 0.0000 x1
Ti 0.0000 0.5000 0.5000 x2
Hg 0.5000 0.5000 0.5000 x1
Cl 0.5000 0.5000 0.0000 x1

***

(17)
Entry from Alexandria via LeMat-Bulk: an optimized crystal structure of HfAg3P (GGA-PBE).

Output
Theoretical density ... 8.6 g/cm3
Distance to the lowest polymorph of the same formula ... 0 meV/atom
Size of the total moment ... 0.000 μB/f.u.
DFT formation energy ... 659 meV/atom

a b c (Å): 4.6939 4.6939 4.6939
angles (deg): 90.00 90.00 90.00
Space group Pm-3m (No. 221)
One atom of each set of equivalent atoms:
Hf 0.0000 0.0000 0.0000 x1
Ag 0.0000 0.5000 0.5000 x3
P 0.5000 0.5000 0.5000 x1

***

(18)
Entry from Alexandria via LeMat-Bulk: an optimized crystal structure of Nd5Dy6Tl (GGA-PBE).

Output
Theoretical density ... 8.2 g/cm3
Size of the total moment ... 0.000 μB/f.u.
DFT formation energy ... -26 meV/atom

a b c (Å): 5.0255 10.1196 15.1596
angles (deg): 90.00 90.00 90.00
Space group Immm (No. 71)
One atom of each set of equivalent atoms:
Nd 0.0000 0.0000 0.0000 x2
Nd 0.0000 0.0000 0.3319 x4
Nd 0.0000 0.5000 0.3368 x4
Dy 0.0000 0.2446 0.5000 x4
Dy 0.0000 0.2545 0.1647 x8
Tl 0.0000 0.5000 0.0000 x2

***

(19)
Entry from Alexandria via LeMat-Bulk: an optimized crystal structure of VCdHgGe2 (GGA-PBE).

Output
Theoretical density ... 6.8 g/cm3
Size of the total moment ... 1.607 μB/f.u.
DFT formation energy ... 414 meV/atom

a b c (Å): 4.7854 4.7854 5.4525
angles (deg): 90.00 90.00 90.00
Space group P4/mmm (No. 123)
One atom of each set of equivalent atoms:
V 0.0000 0.0000 0.0000 x1
Cd 0.0000 0.0000 0.5000 x1
Hg 0.5000 0.5000 0.5000 x1
Ge 0.0000 0.5000 0.0000 x2

***

(20)
Entry from Alexandria via LeMat-Bulk: an optimized crystal structure of Cr2BPPt (GGA-PBE).

Output
Theoretical density ... 8.3 g/cm3
Size of the total moment ... 4.846 μB/f.u.
DFT formation energy ... 265 meV/atom

a b c (Å): 4.0882 4.0882 4.0849
angles (deg): 90.00 90.00 90.00
Space group P4/mmm (No. 123)
One atom of each set of equivalent atoms:
Cr 0.0000 0.5000 0.0000 x2
B 0.0000 0.0000 0.0000 x1
P 0.5000 0.5000 0.5000 x1
Pt 0.0000 0.0000 0.5000 x1